DFT (PBE-GGA) results for a relaxed TaCuPtRh crystal.

Computed properties:
Formation enthalpy at 0 K   -421 meV/atom
Relative energy among the computed polymorphs   0.139 eV per atom

Cell: 4.403 4.403 4.403 Å, 60.00 60.00 60.00°
Fractional coordinates of all 4 atoms:
1 Rh 0.250 0.250 0.250
2 Cu 0.500 0.500 0.500
3 Pt 0.750 0.750 0.750
4 Ta 0.000 0.000 0.000

---

DFT (PBE-GGA) results for a relaxed HgRuPb2 crystal.

Computed properties:
Formation enthalpy at 0 K   280 meV/atom

Cell: 7.428 7.428 4.714 Å, 71.45 71.45 24.81°
Fractional coordinates of all 4 atoms:
1 Hg 0.750 0.750 0.750
2 Pb 0.920 0.920 0.080
3 Pb 0.580 0.580 0.420
4 Ru 0.250 0.250 0.250

---

DFT (PBE-GGA) results for a relaxed Ca2MnAsI crystal.

Computed properties:
Formation energy without anion corrections   216 meV/atom

Cell: 5.642 4.698 5.642 Å, 90.00 90.00 90.00°
Each line ends with the local moment (μB).
Fractional coordinates of all 5 atoms:
1 I 0.000 0.500 0.000  0.06
2 As 0.500 0.500 0.500  0.27
3 Mn 0.000 0.000 0.000  2.41
4 Ca 0.000 0.000 0.500  -0.07
5 Ca 0.500 0.000 0.000  -0.02

---

DFT (PBE-GGA) results for a relaxed AlW2Se crystal.

Computed properties:
Formation energy without anion corrections   537 meV/atom
Relative energy among the computed polymorphs   0.415 eV per atom

Cell: 4.454 4.454 4.454 Å, 60.00 60.00 60.00°
Fractional coordinates of all 4 atoms:
1 Se 0.500 0.500 0.500
2 W 0.250 0.250 0.250
3 W 0.750 0.750 0.750
4 Al 0.000 0.000 0.000

---

DFT (PBE-GGA) results for a relaxed Mg2HIr crystal.

Computed properties:
Relative energy among the computed polymorphs   0.244 eV per atom

Cell: 3.295 4.560 4.560 Å, 90.00 90.00 90.00°
Fractional coordinates of all 4 atoms:
1 Mg 0.000 0.500 0.000
2 Mg 0.000 0.000 0.500
3 H 0.000 0.000 0.000
4 Ir 0.500 0.000 0.000

---

DFT (PBE-GGA) results for a relaxed Na2Hg5Pd3 crystal.

Computed properties:
Formation enthalpy at 0 K   -171 meV/atom

Cell: 5.928 8.698 8.698 Å, 94.84 96.69 96.69°
Fractional coordinates of all 20 atoms:
1 Na 0.941 0.595 0.184
2 Na 0.441 0.184 0.595
3 Na 0.059 0.405 0.816
4 Na 0.559 0.816 0.405
5 Hg 0.560 0.286 0.945
6 Hg 0.060 0.945 0.286
7 Hg 0.440 0.714 0.055
8 Hg 0.940 0.055 0.714
9 Hg 0.949 0.743 0.856
10 Hg 0.051 0.257 0.144
11 Hg 0.750 0.502 0.498
12 Hg 0.250 0.498 0.502
13 Hg 0.551 0.144 0.257
14 Hg 0.449 0.856 0.743
15 Pd 0.560 0.538 0.780
16 Pd 0.060 0.780 0.538
17 Pd 0.440 0.462 0.220
18 Pd 0.940 0.220 0.462
19 Pd 0.250 0.004 0.996
20 Pd 0.750 0.996 0.004